No. 1
This record from the Alexandria database describes a relaxed Na2SbPbSe4 crystal. The functional is PBE.

formation energy (no corrections)	-0.629	eV per atom

Unit cell a=8.462 b=8.461 c=8.515 alpha=120.21 beta=120.21 gamma=90.15
Fractional coordinates of all 16 atoms:
Na1 0.500 0.000 0.000
Na2 0.500 0.000 0.500
Na3 0.000 0.000 0.500
Na4 0.500 0.500 0.000
Sb1 0.500 0.500 0.500
Sb2 0.000 0.000 0.000
Pb1 0.000 0.500 0.000
Pb2 0.000 0.500 0.500
Se1 0.245 0.762 0.003
Se2 0.738 0.255 0.496
Se3 0.262 0.745 0.503
Se4 0.755 0.238 0.997
Se5 0.748 0.752 0.986
Se6 0.748 0.752 0.514
Se7 0.252 0.248 0.486
Se8 0.252 0.248 0.014

No. 2
This record from the Alexandria database describes a relaxed NaSbPbSe3 crystal. The functional is PBE.

formation energy (no corrections)	-0.509	eV per atom

Unit cell a=4.087 b=9.160 c=10.933 alpha=89.27 beta=90.00 gamma=90.00
Fractional coordinates of all 12 atoms:
Na1 0.250 0.146 0.570
Na2 0.750 0.854 0.430
Sb1 0.250 0.620 0.137
Sb2 0.750 0.380 0.863
Pb1 0.250 0.131 0.202
Pb2 0.750 0.869 0.798
Se1 0.750 0.821 0.163
Se2 0.250 0.179 0.837
Se3 0.250 0.824 0.616
Se4 0.750 0.176 0.384
Se5 0.750 0.366 0.101
Se6 0.250 0.634 0.899

No. 3
This record from the Alexandria database describes a relaxed NaSbPb2Se4 crystal. The functional is PBE.

formation energy (no corrections)	-0.572	eV per atom

Unit cell a=8.537 b=8.537 c=8.615 alpha=120.31 beta=120.31 gamma=89.31
Fractional coordinates of all 16 atoms:
Na1 0.000 0.500 0.000
Na2 0.000 0.500 0.500
Sb1 0.500 0.500 0.500
Sb2 0.000 0.000 0.000
Pb1 0.500 0.000 0.000
Pb2 0.500 0.000 0.500
Pb3 0.000 0.000 0.500
Pb4 0.500 0.500 0.000
Se1 0.237 0.754 0.995
Se2 0.746 0.263 0.505
Se3 0.254 0.737 0.495
Se4 0.763 0.246 0.005
Se5 0.755 0.745 0.986
Se6 0.755 0.745 0.514
Se7 0.245 0.255 0.486
Se8 0.245 0.255 0.014

No. 4
This record from the Alexandria database describes a relaxed Na3Sn2Sb4Pb2 crystal. The functional is PBE.

formation energy (no corrections)	-0.154	eV per atom

Unit cell a=5.403 b=5.403 c=13.491 alpha=90.00 beta=90.00 gamma=120.00
Fractional coordinates of all 11 atoms:
Na1 0.000 0.000 0.728
Na2 0.000 0.000 0.000
Na3 0.000 0.000 0.272
Sn1 0.667 0.333 0.395
Sn2 0.333 0.667 0.605
Sb1 0.667 0.333 0.133
Sb2 0.333 0.667 0.867
Sb3 0.667 0.333 0.622
Sb4 0.333 0.667 0.378
Pb1 0.667 0.333 0.876
Pb2 0.333 0.667 0.124

No. 5
This record from the Alexandria database describes a relaxed NaSnSbPb crystal. The functional is PBE.

formation energy (no corrections)	-0.017	eV per atom

Unit cell a=5.435 b=5.435 c=5.435 alpha=60.00 beta=60.00 gamma=60.00
Fractional coordinates of all 4 atoms:
Pb1 0.000 0.000 0.000
Sb1 0.500 0.500 0.500
Sn1 0.250 0.250 0.250
Na1 0.750 0.750 0.750

No. 6
This record from the Alexandria database describes a relaxed Na2SrSb2Pb crystal. The functional is PBE.

formation energy (no corrections)	-0.515	eV per atom

Unit cell a=4.810 b=8.544 c=9.662 alpha=90.00 beta=90.00 gamma=90.00
Fractional coordinates of all 12 atoms:
Na1 0.500 0.051 0.082
Na2 0.000 0.369 0.183
Na3 0.500 0.551 0.918
Na4 0.000 0.869 0.817
Sr1 0.000 0.969 0.425
Sr2 0.000 0.469 0.575
Sb1 0.000 0.269 0.875
Sb2 0.500 0.255 0.391
Sb3 0.000 0.769 0.125
Sb4 0.500 0.755 0.609
Pb1 0.500 0.133 0.704
Pb2 0.500 0.633 0.296

No. 7
This record from the Alexandria database describes a relaxed NaSrSbPb2 crystal. The functional is PBE.

formation energy (no corrections)	0.068	eV per atom

Unit cell a=6.055 b=5.522 c=6.055 alpha=90.00 beta=90.00 gamma=90.00
Fractional coordinates of all 5 atoms:
Pb1 0.000 0.000 0.500
Pb2 0.500 0.000 0.000
Sb1 0.000 0.000 0.000
Na1 0.000 0.500 0.000
Sr1 0.500 0.500 0.500

No. 8
This record from the Alexandria database describes a relaxed NaSbTe2Pb crystal. The functional is PBE.

formation energy (no corrections)	0.288	eV per atom
polymorph energy (0 for the lowest one)	0.0	meV/atom

Unit cell a=6.007 b=6.007 c=5.851 alpha=90.00 beta=90.00 gamma=90.00
Last column: magnetic moment on the atom in μB.
Fractional coordinates of all 5 atoms:
Pb1 0.000 0.000 0.000  0.01
Sb1 0.000 0.000 0.500  0.33
Te1 0.000 0.500 0.000  0.06
Te2 0.500 0.000 0.000  0.06
Na1 0.500 0.500 0.500  0.00

Q: The highest formation energy (no corrections) belongs to which entry?
A: NaSbTe2Pb

Please write out number 7 again, unchanged.
This record from the Alexandria database describes a relaxed NaSrSbPb2 crystal. The functional is PBE.

formation energy (no corrections)	0.068	eV per atom

Unit cell a=6.055 b=5.522 c=6.055 alpha=90.00 beta=90.00 gamma=90.00
Fractional coordinates of all 5 atoms:
Pb1 0.000 0.000 0.500
Pb2 0.500 0.000 0.000
Sb1 0.000 0.000 0.000
Na1 0.000 0.500 0.000
Sr1 0.500 0.500 0.500

Q: formation energy (no corrections) of number 7 (NaSrSbPb2)?
A: 0.068 eV per atom